ScGaCl3 | PBE | relaxed

Unit cell a=5.123 b=5.123 c=5.123 alpha=90.00 beta=90.00 gamma=90.00
Site moments in Bohr magnetons follow the coordinates.
Fractional positions:
Sc (0.500, 0.500, 0.500)  1.15
Ga (0.000, 0.000, 0.000)  -0.03
Cl (0.000, 0.500, 0.000)  -0.02
Cl (0.000, 0.000, 0.500)  -0.01
Cl (0.500, 0.000, 0.000)  -0.02

Results
For the energy above the most stable polymorph in this dataset, the calculation gives 830.4 meV/atom. Its space-group type is Pm-3m.

---

Be2TlAs | PBE | relaxed

Unit cell a=3.600 b=3.600 c=6.589 alpha=72.95 beta=72.95 gamma=59.83
Fractional positions:
Be (0.975, 0.975, 0.089)
Be (0.525, 0.525, 0.411)
Tl (0.750, 0.750, 0.750)
As (0.250, 0.250, 0.250)

Results
For the energy above the most stable polymorph in this dataset, the calculation gives 90.5 meV/atom. For the formation energy, the calculation gives 0.293 eV/atom. Its space-group type is C2/m.

---

Pm2Zn2HRh2 | PBE | relaxed

Unit cell a=4.102 b=5.790 c=6.080 alpha=75.00 beta=70.28 gamma=69.25
Fractional positions:
Pm (0.554, 0.173, 0.718)
Pm (0.446, 0.827, 0.282)
Zn (0.147, 0.394, 0.312)
Zn (0.853, 0.606, 0.688)
H (0.000, 0.000, 0.000)
Rh (0.192, 0.706, 0.911)
Rh (0.808, 0.294, 0.089)

Results
For the total DFT energy (no corrections), the calculation gives -4.828 eV per atom. Its space-group type is C2/m.

---

Ce3Tm13 | PBE | relaxed

Unit cell a=7.028 b=8.278 c=8.278 alpha=94.74 beta=90.00 gamma=90.00
Site moments in Bohr magnetons follow the coordinates.
Fractional positions:
Ce (0.797, 0.055, 0.945)  0.37
Ce (0.000, 0.271, 0.729)  0.16
Ce (0.203, 0.055, 0.945)  0.37
Tm (0.750, 0.952, 0.537)  -0.01
Tm (0.748, 0.540, 0.460)  -0.04
Tm (0.750, 0.463, 0.048)  -0.01
Tm (0.000, 0.697, 0.788)  -0.01
Tm (0.000, 0.212, 0.303)  -0.01
Tm (0.000, 0.794, 0.206)  0.00
Tm (0.250, 0.952, 0.537)  -0.01
Tm (0.252, 0.540, 0.460)  -0.04
Tm (0.250, 0.463, 0.048)  -0.01
Tm (0.500, 0.289, 0.711)  0.02
Tm (0.500, 0.718, 0.796)  -0.01
Tm (0.500, 0.204, 0.282)  -0.01
Tm (0.500, 0.793, 0.207)  -0.01

Results
For the formation energy, the calculation gives 0.035 eV/atom. Its space-group type is Amm2.

---

Repeat the second record exactly.
Be2TlAs | PBE | relaxed

Unit cell a=3.600 b=3.600 c=6.589 alpha=72.95 beta=72.95 gamma=59.83
Fractional positions:
Be (0.975, 0.975, 0.089)
Be (0.525, 0.525, 0.411)
Tl (0.750, 0.750, 0.750)
As (0.250, 0.250, 0.250)

Results
For the energy above the most stable polymorph in this dataset, the calculation gives 90.5 meV/atom. For the formation energy, the calculation gives 0.293 eV/atom. Its space-group type is C2/m.